# Sm4Ni

A geometry-optimized Sm4Ni structure (GGA-PBE, Alexandria via LeMat-Bulk).

a b c (Å): 5.4290 5.4290 5.4290
angles (deg): 90.00 90.00 90.00
Atoms (fractional coordinates):
Sm 0.0000 0.0000 0.0000
Sm 0.0000 0.5000 0.5000
Sm 0.5000 0.0000 0.5000
Sm 0.5000 0.5000 0.0000
Ni 0.5000 0.5000 0.5000

Calculated values
Energy: -4.92 eV/atom
Symmetry: Pm-3m
Calculated formation energy: 0.01 eV/atom

***

# MnIrSe2

A geometry-optimized MnIrSe2 structure (GGA-PBE, Alexandria via LeMat-Bulk).

a b c (Å): 3.7992 3.8006 6.0204
angles (deg): 90.00 90.24 90.00
Atoms (fractional coordinates):
Mn 0.0000 0.0000 0.0000
Ir 0.5004 0.5000 0.9999
Se 0.0023 0.5000 0.2662
Se 0.4977 0.0000 0.7337

Calculated values
Distance to the lowest polymorph of the same formula: 0.22 eV/f.u.
Energy: -6.43 eV/atom
Symmetry: Pm

***

# KAlRe2F

A geometry-optimized KAlRe2F structure (GGA-PBE, Alexandria via LeMat-Bulk).

a b c (Å): 4.6794 4.6794 7.3083
angles (deg): 90.00 90.00 90.00
Atoms (fractional coordinates):
K 0.0000 0.0000 0.0000
Al 0.0000 0.0000 0.5000
Re 0.0000 0.5000 0.5000
Re 0.5000 0.0000 0.5000
F 0.5000 0.5000 0.0000

Calculated values
Energy: -4.97 eV/atom
Symmetry: P4/mmm

***

# AsPRuBr2

A geometry-optimized AsPRuBr2 structure (GGA-PBE, Alexandria via LeMat-Bulk).

a b c (Å): 5.3218 5.3218 4.7509
angles (deg): 90.00 90.00 90.00
Atoms (fractional coordinates):
As 0.0000 0.0000 0.0000
P 0.0000 0.0000 0.5000
Ru 0.5000 0.5000 0.5000
Br 0.0000 0.5000 0.0000
Br 0.5000 0.0000 0.0000

Calculated values
Distance to the lowest polymorph of the same formula: 1.93 eV/f.u.
Energy: -3.33 eV/atom
Symmetry: P4/mmm

***

# LaIr2

A geometry-optimized LaIr2 structure (GGA-PBE, Alexandria via LeMat-Bulk).

a b c (Å): 4.5961 4.5961 4.5961
angles (deg): 60.00 60.00 60.00
Atoms (fractional coordinates):
La 0.0000 0.0000 0.0000
Ir 0.2500 0.2500 0.2500
Ir 0.7500 0.7500 0.7500

Calculated values
Energy: -6.97 eV/atom
Symmetry: Fm-3m
Calculated formation energy: 0.58 eV/atom

***

# Li2Dy2Al5Pd

A geometry-optimized Li2Dy2Al5Pd structure (GGA-PBE, Alexandria via LeMat-Bulk).

a b c (Å): 10.1961 10.1961 3.4925
angles (deg): 90.00 90.00 90.00
Atoms (fractional coordinates):
Li 0.1258 0.3742 0.0000
Li 0.3742 0.8742 0.0000
Li 0.6258 0.1258 0.0000
Li 0.8742 0.6258 0.0000
Dy 0.1776 0.6776 0.0000
Dy 0.3224 0.1776 0.0000
Dy 0.6776 0.8224 0.0000
Dy 0.8224 0.3224 0.0000
Al 0.0000 0.5000 0.5000
Al 0.0524 0.1911 0.5000
Al 0.1911 0.9476 0.5000
Al 0.3089 0.4476 0.5000
Al 0.4476 0.6911 0.5000
Al 0.5000 0.0000 0.5000
Al 0.5524 0.3089 0.5000
Al 0.6911 0.5524 0.5000
Al 0.8089 0.0524 0.5000
Al 0.9476 0.8089 0.5000
Pd 0.0000 0.0000 0.0000
Pd 0.5000 0.5000 0.0000

Calculated values
Energy: -4.06 eV/atom
Symmetry: P4/mbm
Calculated formation energy: -0.36 eV/atom

***

# Tc2Ge2Bi

A geometry-optimized Tc2Ge2Bi structure (GGA-PBE, Alexandria via LeMat-Bulk).

a b c (Å): 6.9914 6.9914 6.9914
angles (deg): 149.16 149.16 44.17
Atoms (fractional coordinates):
Tc 0.1133 0.1133 0.0000
Tc 0.8867 0.8867 0.0000
Ge 0.2500 0.7500 0.5000
Ge 0.7500 0.2500 0.5000
Bi 0.5000 0.5000 0.0000

Calculated values
Distance to the lowest polymorph of the same formula: 0.00 eV/f.u.
Energy: -6.59 eV/atom
Symmetry: I4/mmm
Calculated formation energy: 0.18 eV/atom

***

# Ac6Zn5Cd

A geometry-optimized Ac6Zn5Cd structure (GGA-PBE, Alexandria via LeMat-Bulk).

a b c (Å): 5.5561 7.8992 8.8002
angles (deg): 90.00 108.33 90.00
Atoms (fractional coordinates):
Ac 0.0000 0.2421 0.0000
Ac 0.0000 0.7579 0.0000
Ac 0.3304 0.2458 0.6607
Ac 0.3304 0.7542 0.6607
Ac 0.6696 0.2458 0.3393
Ac 0.6696 0.7542 0.3393
Zn 0.1653 0.5000 0.3308
Zn 0.1660 0.0000 0.3322
Zn 0.5000 0.0000 0.0000
Zn 0.8340 0.0000 0.6678
Zn 0.8347 0.5000 0.6692
Cd 0.5000 0.5000 0.0000

Calculated values
Energy: -2.91 eV/atom
Symmetry: P2/m
Calculated formation energy: -0.25 eV/atom

***

# Tl5VBr8

A geometry-optimized Tl5VBr8 structure (GGA-PBE, Alexandria via LeMat-Bulk).

a b c (Å): 9.4494 9.4494 9.4494
angles (deg): 105.87 105.87 116.94
Atoms (fractional coordinates):
Tl 0.0000 0.0000 0.0000
Tl 0.1461 0.6599 0.0522
Tl 0.3401 0.3923 0.4862
Tl 0.6077 0.0939 0.9478
Tl 0.9061 0.8539 0.5138
V 0.7500 0.2500 0.5000
Br 0.0508 0.3420 0.6508
Br 0.0775 0.3821 0.1917
Br 0.1143 0.9225 0.3046
Br 0.1903 0.8857 0.8083
Br 0.6000 0.9492 0.2912
Br 0.6179 0.8097 0.6954
Br 0.6580 0.3088 0.7088
Br 0.6912 0.4000 0.3492

Calculated values
Energy: -3.25 eV/atom
Symmetry: I-4

***

# AlZnAu2

A geometry-optimized AlZnAu2 structure (GGA-PBE, Alexandria via LeMat-Bulk).

a b c (Å): 5.8610 5.8610 5.8610
angles (deg): 102.47 102.47 124.63
Atoms (fractional coordinates):
Al 0.0000 0.0000 0.0000
Al 0.7500 0.2500 0.5000
Zn 0.2500 0.7500 0.5000
Zn 0.5000 0.5000 0.0000
Au 0.1119 0.6250 0.9869
Au 0.3750 0.3619 0.4869
Au 0.6381 0.1250 0.0131
Au 0.8750 0.8881 0.5131

Calculated values
Energy: -2.97 eV/atom
Symmetry: I-42d
Calculated formation energy: -0.08 eV/atom

***

# LuNiAgSn

A geometry-optimized LuNiAgSn structure (GGA-PBE, Alexandria via LeMat-Bulk).

a b c (Å): 4.7252 4.7252 4.7252
angles (deg): 60.00 60.00 60.00
Atoms (fractional coordinates):
Lu 0.0000 0.0000 0.0000
Ni 0.7500 0.7500 0.7500
Ag 0.2500 0.2500 0.2500
Sn 0.5000 0.5000 0.5000

Calculated values
Energy: -4.65 eV/atom
Symmetry: F-43m
Calculated formation energy: -0.37 eV/atom

***

# FeBiSe2

A geometry-optimized FeBiSe2 structure (GGA-PBE, Alexandria via LeMat-Bulk).

a b c (Å): 7.1297 7.1297 7.1297
angles (deg): 126.71 126.71 78.72
Atoms (fractional coordinates):
Fe 0.0000 0.0000 0.0000
Fe 0.7500 0.2500 0.5000
Bi 0.2500 0.7500 0.5000
Bi 0.5000 0.5000 0.0000
Se 0.0563 0.6250 0.9313
Se 0.3750 0.3063 0.4313
Se 0.6937 0.1250 0.0687
Se 0.8750 0.9437 0.5687

Calculated values
Energy: -4.83 eV/atom
Symmetry: I-42d